## Ac2ErHg2 (PBE)

Data for a geometry-optimized Ac2ErHg2 structure.

The structure in POSCAR format:
```
Ac2ErHg2
1.0
-1.599 2.333 -3.025
-6.137 2.288 2.173
0.062 6.546 2.182
Hg Ac Er
2 2 1
Direct
0.500 0.291 0.709
0.500 0.709 0.291
0.210 0.290 0.290
0.790 0.710 0.710
0.000 0.000 0.000
```

Values from the calculation:
The value obtained for the energy is -3.008 eV/atom. The density comes out at 10.09 g cm⁻³. As for the space-group type: Immm (71). For the calculated volume, the calculation gives 168.3 Å³ per cell. The calculation puts the energy relative to the elements at -0.33 eV/atom.



## KTaW2 (PBE)

Data for a geometry-optimized KTaW2 structure.

The structure in POSCAR format:
```
KTaW2
1.0
2.734 0.000 0.000
0.000 2.734 0.000
0.000 0.000 10.883
W Ta K
2 1 1
Direct
0.000 0.000 0.960
0.000 0.000 0.540
0.500 0.500 0.750
0.500 0.500 0.250
```

Values from the calculation:
The value obtained for the energy is -8.778 eV/atom. The density comes out at 11.99 g cm⁻³. The offset from the most stable computed form is 212 meV/atom. As for the space-group type: P4/mmm (123). For the calculated volume, the calculation gives 81.4 Å³ per cell. The calculation puts the energy relative to the elements at 0.94 eV/atom.